(1)
The following is a DFT calculation (GGA-PBE) of an optimized crystal structure of V3CuAg.

Its formation energy from the elements is 1.232 eV per atom. The magnetic moment is 0.737 μB/atom.

abc: 4.447 4.447 4.447
angles: 90.00 90.00 90.00
Atoms (fractional coordinates):
V1 0.000 0.000 0.500
V2 0.000 0.500 0.000
V3 0.500 0.000 0.000
Cu1 0.000 0.000 0.000
Ag1 0.500 0.500 0.500

---

(2)
The following is a DFT calculation (GGA-PBE) of an optimized crystal structure of VCuAg3.

Its formation energy from the elements is 1.416 eV per atom. The magnetic moment is 0.645 μB/atom.

abc: 4.959 4.959 4.959
angles: 90.00 90.00 90.00
Atoms (fractional coordinates):
V1 0.000 0.000 0.000
Cu1 0.500 0.500 0.500
Ag1 0.000 0.000 0.500
Ag2 0.000 0.500 0.000
Ag3 0.500 0.000 0.000

---

(3)
The following is a DFT calculation (GGA-PBE) of an optimized crystal structure of VCuAg2.

Its formation energy from the elements is 0.437 eV per atom. The magnetic moment is 0.000 μB/atom.

abc: 4.432 4.432 4.432
angles: 60.00 60.00 60.00
Atoms (fractional coordinates):
V1 0.000 0.000 0.000
Cu1 0.500 0.500 0.500
Ag1 0.250 0.250 0.250
Ag2 0.750 0.750 0.750

---

(4)
The following is a DFT calculation (GGA-PBE) of an optimized crystal structure of V2CuAg.

Its formation energy from the elements is 0.719 eV per atom. The magnetic moment is 0.000 μB/atom.

abc: 5.566 5.566 5.566
angles: 101.14 101.14 127.84
Atoms (fractional coordinates):
V1 0.102 0.625 0.977
V2 0.375 0.352 0.477
V3 0.648 0.125 0.023
V4 0.875 0.898 0.523
Cu1 0.000 0.000 0.000
Cu2 0.750 0.250 0.500
Ag1 0.250 0.750 0.500
Ag2 0.500 0.500 0.000